Record 1
An optimized crystal structure of CdFeW2, computed with PBE.

Properties
Density of states at the Fermi level ... 3.3 states/eV/f.u.
Energy of formation ... 443 meV per atom
Total moment ... 1.95 μB/f.u.

Structure (POSCAR):
```
CdFeW2
1.0
3.212 0.000 0.000
0.000 3.212 0.000
0.000 0.000 6.272
W Fe Cd
2 1 1
direct
0.000 0.000 0.991 W
0.500 0.500 0.215 W
0.500 0.500 0.777 Fe
0.000 0.000 0.517 Cd
```

Record 2
An optimized crystal structure of Tc3PCl, computed with PBE.

Properties
Density of states at the Fermi level ... 5.7 states/eV/f.u.
Total moment ... 3.04 μB/f.u.
Offset from the most stable computed form ... 0 meV/atom
Uncorrected formation energy ... 1.02 eV per atom

Structure (POSCAR):
```
Tc3PCl
1.0
-1.327 1.540 -3.999
-1.995 -3.927 -0.850
-3.793 1.528 1.846
Tc Cl P
3 1 1
direct
0.500 0.000 0.000 Tc
0.000 0.500 0.000 Tc
0.000 0.000 0.500 Tc
0.500 0.500 0.500 Cl
0.000 0.000 0.000 P
```